A relaxed structure of Pm3Pr2ThP6. Source: Alexandria via LeMat-Bulk, functional GGA-PBE.

Summary:
SG: C2/m, No. 12
Magnetization (μB/f.u.): 0.000
Formation energy from the elements (eV/atom): -1.57

```
Pm3Pr2ThP6
1.0
9.051 -2.080 0.000
9.051 2.080 0.000
-1.894 0.000 8.098
Pm Pr Th P
3 2 1 6
direct
0.000 0.000 0.000 Pm
0.332 0.332 0.668 Pm
0.668 0.668 0.332 Pm
0.333 0.333 0.165 Pr
0.667 0.667 0.835 Pr
0.000 0.000 0.500 Th
0.165 0.165 0.086 P
0.165 0.165 0.579 P
0.499 0.499 0.747 P
0.501 0.501 0.253 P
0.835 0.835 0.421 P
0.835 0.835 0.914 P
```